Entry 1:
Here is a relaxed PrHf2 crystal from the Open Quantum Materials Database. Energies are from PBE.

## Properties
The energy relative to the elements comes out at 0.380 eV per atom. The crystal system is cubic.

Lattice parameters (Å, degrees): 8.669 8.669 8.669 90.00 90.00 90.00
Space group Fd-3m (No. 227, origin choice 2)
One atom of each set of equivalent atoms:
Pr1 0.125 0.125 0.125 x8
Hf1 0.000 0.000 0.500 x16


Entry 2:
Here is a relaxed Fe3AgGe5 crystal from the Open Quantum Materials Database. Energies are from PBE.

## Properties
The crystal system is hexagonal. Its calculated total energy is -5.571 eV/atom.

Lattice parameters (Å, degrees): 4.8892 4.8892 7.0017 90.00 90.00 120.00
Space group P6/mmm (No. 191)
One atom of each set of equivalent atoms:
Fe1 0.0000 0.5000 0.0000 x3
Ag1 0.0000 0.0000 0.5000 x1
Ge1 0.0000 0.0000 0.0000 x1
Ge2 0.3333 0.6667 0.2998 x4


Entry 3:
Here is a relaxed YTm2Lu4Ni2Te2 crystal from the Open Quantum Materials Database. Energies are from PBE.

## Properties
The value obtained for the energy above the most stable polymorph in this dataset is 0.007 eV/atom. The crystal system is orthorhombic.

Lattice parameters (Å, degrees): 3.812 15.333 9.415 90.00 90.00 90.00
Space group Imm2 (No. 44)
One atom of each set of equivalent atoms:
Y1 0.000 0.000 0.000 x2
Tm1 0.000 0.314 0.622 x4
Lu1 0.000 0.134 0.418 x4
Lu2 0.000 0.352 0.270 x4
Ni1 0.000 0.239 0.928 x4
Te1 0.000 0.000 0.662 x2
Te2 0.000 0.500 0.768 x2


Entry 4:
Here is a relaxed La2Fe2Br crystal from the Open Quantum Materials Database. Energies are from PBE.

## Properties
The crystal system is hexagonal. Its calculated total energy is -6.247 eV/atom.

Lattice parameters (Å, degrees): 4.0104 4.0104 8.7730 90.00 90.00 120.00
Space group P-6m2 (No. 187)
One atom of each set of equivalent atoms:
La1 0.0000 0.0000 0.2211 x2
Fe1 0.3333 0.6667 0.0000 x1
Fe2 0.6667 0.3333 0.0000 x1
Br1 0.6667 0.3333 0.5000 x1


Entry 5:
Here is a relaxed NdBC crystal from the Open Quantum Materials Database. Energies are from PBE.

## Properties
The crystal system is orthorhombic. Its calculated total energy is -7.256 eV/atom.

Lattice parameters (Å, degrees): 8.432 8.469 12.292 90.00 90.00 90.00
Space group P2_12_12_1 (No. 19)
One atom of each set of equivalent atoms:
Nd1 0.049 0.098 0.140 x4
Nd2 0.062 0.699 0.635 x4
Nd3 0.157 0.593 0.904 x4
Nd4 0.161 0.991 0.420 x4
Nd5 0.245 0.289 0.673 x4
B1 0.019 0.889 0.959 x4
B2 0.062 0.298 0.321 x4
B3 0.097 0.977 0.740 x4
B4 0.117 0.397 0.213 x4
B5 0.184 0.308 0.991 x4
C1 0.025 0.306 0.439 x4
C2 0.057 0.890 0.841 x4
C3 0.146 0.396 0.093 x4
C4 0.146 0.997 0.626 x4
C5 0.244 0.299 0.879 x4


Entry 6:
Here is a relaxed Ho2As2O5 crystal from the Open Quantum Materials Database. Energies are from PBE.

## Properties
The value obtained for the energy above the most stable polymorph in this dataset is 0.000 eV/atom. The crystal system is tetragonal.

Lattice parameters (Å, degrees): 3.709 3.709 9.252 90.00 90.00 90.00
Space group P4/mmm (No. 123)
One atom of each set of equivalent atoms:
Ho1 0.000 0.000 0.246 x2
As1 0.500 0.500 0.000 x1
As2 0.500 0.500 0.500 x1
O1 0.000 0.000 0.000 x1
O2 0.000 0.500 0.365 x4